(1)
CaTc4Hg: relaxed, PBE.

## Properties
Energy of formation from the pure elements in eV per atom: 0.3786

a = 5.316 Å, b = 5.316 Å, c = 5.316 Å
α = 60.00°, β = 60.00°, γ = 60.00°
Fractional positions:
Tc: 0.877 0.374 0.374
Tc: 0.374 0.374 0.374
Tc: 0.374 0.877 0.374
Tc: 0.374 0.374 0.877
Ca: 0.750 0.750 0.750
Hg: 0.000 0.000 0.000


(2)
NaY2PaAs4: relaxed, PBE.

## Properties
Energy of formation from the pure elements in eV per atom: -1.1033

a = 4.174 Å, b = 7.092 Å, c = 7.155 Å
α = 108.47°, β = 90.00°, γ = 90.00°
Fractional positions:
As: 0.500 0.243 0.246
As: 0.000 0.767 0.251
As: 0.000 0.233 0.749
As: 0.500 0.757 0.754
Na: 0.500 0.500 0.000
Y: 0.500 0.000 0.500
Y: 0.000 0.500 0.500
Pa: 0.000 0.000 0.000


(3)
Tm8SiBi2: relaxed, PBE.

## Properties
E_form (uncorrected) in eV per atom: -0.3558

a = 5.029 Å, b = 6.729 Å, c = 9.417 Å
α = 87.95°, β = 105.49°, γ = 90.00°
Fractional positions:
Bi: 0.171 0.823 0.343
Bi: 0.829 0.177 0.657
Tm: 0.028 0.240 0.055
Tm: 0.972 0.760 0.945
Tm: 0.350 0.911 0.699
Tm: 0.783 0.639 0.566
Tm: 0.410 0.426 0.819
Tm: 0.217 0.361 0.434
Tm: 0.590 0.574 0.181
Tm: 0.650 0.089 0.301
Si: 0.500 0.000 0.000


(4)
SrCrSi: relaxed, PBE.

## Properties
E_form (uncorrected) in eV per atom: 0.2010

a = 6.149 Å, b = 6.149 Å, c = 3.451 Å
α = 73.70°, β = 73.70°, γ = 32.59°
Each line ends with the local moment (μB).
Fractional positions:
Si: 0.382 0.382 0.618  -0.10
Sr: 0.672 0.672 0.328  0.01
Cr: 0.946 0.946 0.054  2.95


(5)
Rb2CdCoBr6: relaxed, PBE.

## Properties
E_form (uncorrected) in eV per atom: -0.9947

a = 7.692 Å, b = 7.691 Å, c = 7.556 Å
α = 59.40°, β = 59.39°, γ = 60.00°
Each line ends with the local moment (μB).
Fractional positions:
Co: 0.316 0.316 0.052  2.44
Br: 0.077 0.508 0.809  0.06
Br: 0.027 0.555 0.294  0.06
Br: 0.606 0.077 0.809  0.06
Br: 0.125 0.026 0.294  0.06
Br: 0.508 0.606 0.809  0.06
Br: 0.555 0.125 0.293  0.06
Cd: 0.816 0.816 0.552  0.03
Rb: 0.067 0.067 0.799  0.00
Rb: 0.565 0.565 0.304  0.00


(6)
SiNi2Os: relaxed, PBE.

## Properties
E_form (uncorrected) in eV per atom: -0.0630

a = 4.508 Å, b = 4.508 Å, c = 4.508 Å
α = 133.01°, β = 133.01°, γ = 68.63°
Fractional positions:
Ni: 0.500 0.500 0.000
Ni: 0.000 0.000 0.000
Os: 0.250 0.750 0.500
Si: 0.750 0.250 0.500


(7)
RbBeTeBr: relaxed, PBE.

## Properties
E_form (uncorrected) in eV per atom: -0.8753

a = 4.211 Å, b = 4.211 Å, c = 8.023 Å
α = 90.00°, β = 90.00°, γ = 120.00°
Fractional positions:
Te: 0.333 0.667 0.626
Br: 0.000 0.000 0.252
Rb: 0.667 0.333 0.970
Be: 0.000 0.000 0.526


(8)
Sm3Tm4Pu: relaxed, PBE.

## Properties
Energy of formation from the pure elements in eV per atom: 0.1557

a = 3.403 Å, b = 11.527 Å, c = 8.773 Å
α = 131.06°, β = 101.18°, γ = 90.00°
Each line ends with the local moment (μB).
Fractional positions:
Tm: 0.633 0.885 0.265  0.03
Tm: 0.367 0.620 0.735  0.03
Tm: 0.367 0.115 0.735  0.03
Tm: 0.633 0.380 0.265  0.03
Sm: 0.237 0.237 0.473  0.02
Sm: 0.763 0.763 0.527  0.02
Sm: 0.000 0.500 0.000  -0.05
Pu: 0.500 0.000 0.000  5.70


(9)
TcNiPS2: relaxed, PBE.

## Properties
E_form (uncorrected) in eV per atom: 0.8284

a = 4.439 Å, b = 4.439 Å, c = 4.276 Å
α = 90.00°, β = 90.00°, γ = 90.00°
Each line ends with the local moment (μB).
Fractional positions:
S: 0.000 0.500 0.000  -0.10
S: 0.500 0.000 0.000  -0.10
Ni: 0.000 0.000 0.000  -0.07
P: 0.000 0.000 0.500  -0.20
Tc: 0.500 0.500 0.500  2.62


(10)
DyCu2Ru: relaxed, PBE.

## Properties
Energy of formation from the pure elements in eV per atom: -0.0756

a = 4.038 Å, b = 3.975 Å, c = 3.975 Å
α = 90.00°, β = 90.00°, γ = 90.00°
Each line ends with the local moment (μB).
Fractional positions:
Ru: 0.500 0.000 0.000  0.27
Cu: 0.000 0.000 0.500  0.00
Cu: 0.000 0.500 0.000  0.00
Dy: 0.500 0.500 0.500  0.00


(11)
KLi2TlBr6: relaxed, PBE.

## Properties
E_form (uncorrected) in eV per atom: -1.1155

a = 7.222 Å, b = 7.223 Å, c = 7.867 Å
α = 62.68°, β = 62.66°, γ = 59.97°
Fractional positions:
Br: 0.913 0.597 0.231
Br: 0.337 0.743 0.750
Br: 0.597 0.259 0.231
Br: 0.259 0.913 0.231
Br: 0.170 0.337 0.750
Br: 0.743 0.170 0.750
Li: 0.007 0.007 0.980
Li: 0.513 0.513 0.462
Tl: 0.322 0.322 0.033
K: 0.801 0.801 0.596


(12)
LiBH7N: relaxed, PBE.

a = 4.434 Å, b = 5.868 Å, c = 14.286 Å
α = 90.00°, β = 90.00°, γ = 90.00°
Fractional positions:
H: 0.250 0.259 0.446
H: 0.527 0.429 0.851
H: 0.750 0.085 0.545
H: 0.473 0.071 0.351
H: 0.933 0.476 0.369
H: 0.973 0.429 0.851
H: 0.527 0.929 0.649
H: 0.250 0.915 0.455
H: 0.067 0.524 0.631
H: 0.250 0.397 0.715
H: 0.750 0.585 0.955
H: 0.027 0.571 0.149
H: 0.750 0.741 0.554
H: 0.750 0.241 0.946
H: 0.250 0.415 0.045
H: 0.067 0.024 0.869
H: 0.250 0.759 0.054
H: 0.933 0.976 0.131
H: 0.567 0.976 0.131
H: 0.250 0.897 0.785
H: 0.433 0.524 0.631
H: 0.750 0.603 0.285
H: 0.473 0.571 0.149
H: 0.750 0.103 0.215
H: 0.567 0.476 0.369
H: 0.433 0.024 0.869
H: 0.973 0.929 0.649
H: 0.027 0.071 0.351
N: 0.250 0.423 0.645
N: 0.250 0.923 0.855
N: 0.750 0.077 0.145
N: 0.750 0.577 0.355
Li: 0.750 0.381 0.073
Li: 0.250 0.119 0.573
Li: 0.250 0.619 0.927
Li: 0.750 0.881 0.427
B: 0.250 0.580 0.099
B: 0.250 0.080 0.401
B: 0.750 0.420 0.901
B: 0.750 0.920 0.599


(13)
Ba4Br3O2: relaxed, PBE.

## Properties
E_form (uncorrected) in eV per atom: -2.1579

a = 3.966 Å, b = 8.111 Å, c = 9.472 Å
α = 102.29°, β = 90.00°, γ = 104.15°
Fractional positions:
Ba: 0.910 0.819 0.295
Ba: 0.679 0.357 0.105
Ba: 0.321 0.643 0.895
Ba: 0.090 0.181 0.705
O: 0.311 0.621 0.163
O: 0.689 0.379 0.837
Br: 0.406 0.812 0.593
Br: 0.000 0.000 0.000
Br: 0.594 0.188 0.407


(14)
NaTiTcO6: relaxed, PBE.

## Properties
E_form (uncorrected) in eV per atom: -1.8824

a = 5.144 Å, b = 5.144 Å, c = 10.419 Å
α = 90.00°, β = 90.00°, γ = 120.00°
Fractional positions:
O: 0.614 0.624 0.147
O: 0.624 0.614 0.647
O: 0.990 0.376 0.647
O: 0.010 0.624 0.353
O: 0.990 0.614 0.853
O: 0.386 0.376 0.853
O: 0.624 0.010 0.853
O: 0.386 0.010 0.647
O: 0.376 0.386 0.353
O: 0.010 0.386 0.147
O: 0.376 0.990 0.147
O: 0.614 0.990 0.353
Tc: 0.667 0.333 0.750
Tc: 0.333 0.667 0.250
Na: 0.000 0.000 0.000
Na: 0.000 0.000 0.500
Ti: 0.667 0.333 0.250
Ti: 0.333 0.667 0.750


(15)
CeSiSn: relaxed, PBE.

## Properties
E_form (uncorrected) in eV per atom: -0.3628

a = 4.178 Å, b = 4.499 Å, c = 4.499 Å
α = 120.00°, β = 90.00°, γ = 90.00°
Each line ends with the local moment (μB).
Fractional positions:
Sn: 0.218 0.333 0.667  0.01
Si: 0.101 0.000 0.000  0.00
Ce: 0.681 0.667 0.333  0.53


(16)
Li2CaTaTc: relaxed, PBE.

## Properties
Energy of formation from the pure elements in eV per atom: 1.6208

a = 4.055 Å, b = 5.214 Å, c = 4.055 Å
α = 90.00°, β = 90.00°, γ = 90.00°
Fractional positions:
Li: 0.000 0.000 0.500
Li: 0.500 0.000 0.000
Ca: 0.000 0.000 0.000
Ta: 0.000 0.500 0.000
Tc: 0.500 0.500 0.500


(17)
Ca8CdPt2: relaxed, PBE.

## Properties
Energy of formation from the pure elements in eV per atom: -0.4845

a = 5.821 Å, b = 8.091 Å, c = 8.091 Å
α = 111.41°, β = 97.48°, γ = 97.48°
Fractional positions:
Ca: 0.000 0.757 0.249
Ca: 0.584 0.333 0.066
Ca: 0.416 0.941 0.673
Ca: 0.584 0.066 0.333
Ca: 0.205 0.384 0.384
Ca: 0.795 0.622 0.622
Ca: 0.000 0.249 0.757
Ca: 0.416 0.673 0.941
Cd: 0.000 0.003 0.003
Pt: 0.500 0.318 0.688
Pt: 0.500 0.688 0.318


(18)
Pm3Sm7Tm2: relaxed, PBE.

## Properties
Energy of formation from the pure elements in eV per atom: 0.2855

a = 6.577 Å, b = 6.577 Å, c = 11.932 Å
α = 74.00°, β = 74.00°, γ = 60.00°
Fractional positions:
Sm: 0.500 0.500 0.500
Sm: 0.080 0.585 0.749
Sm: 0.920 0.415 0.251
Sm: 0.585 0.080 0.749
Sm: 0.415 0.920 0.251
Sm: 0.415 0.415 0.251
Sm: 0.585 0.585 0.749
Pm: 0.846 0.846 0.461
Pm: 0.154 0.154 0.539
Pm: 0.000 0.000 0.000
Tm: 0.334 0.334 0.999
Tm: 0.666 0.666 0.001


(19)
KRb2V2: relaxed, PBE.

## Properties
Energy of formation from the pure elements in eV per atom: 1.1230

a = 5.693 Å, b = 5.693 Å, c = 8.532 Å
α = 70.51°, β = 70.51°, γ = 90.00°
Each line ends with the local moment (μB).
Fractional positions:
Rb: 0.250 0.750 0.500  0.00
Rb: 0.750 0.250 0.500  0.00
V: 0.440 0.440 0.120  0.59
V: 0.560 0.560 0.880  0.59
K: 0.000 0.000 0.000  0.00


(20)
Zr3TlI: relaxed, PBE.

## Properties
E_form (uncorrected) in eV per atom: 0.8404

a = 5.264 Å, b = 5.264 Å, c = 5.264 Å
α = 90.00°, β = 90.00°, γ = 90.00°
Fractional positions:
Zr: 0.000 0.000 0.500
Zr: 0.500 0.000 0.000
Zr: 0.000 0.500 0.000
Tl: 0.500 0.500 0.500
I: 0.000 0.000 0.000


(21)
Rb3Hg4Te2: relaxed, PBE.

## Properties
E_form (uncorrected) in eV per atom: -0.5253

a = 5.170 Å, b = 7.382 Å, c = 10.880 Å
α = 67.38°, β = 76.26°, γ = 69.50°
Fractional positions:
Rb: 0.317 0.730 0.635
Rb: 0.000 0.000 0.000
Rb: 0.683 0.270 0.365
Hg: 0.997 0.350 0.656
Hg: 0.731 0.601 0.936
Hg: 0.003 0.650 0.344
Hg: 0.269 0.399 0.064
Te: 0.617 0.025 0.742
Te: 0.383 0.975 0.258


(22)
CeTmCdPd: relaxed, PBE.

## Properties
Energy of formation from the pure elements in eV per atom: -0.4214

a = 5.157 Å, b = 5.157 Å, c = 5.157 Å
α = 60.00°, β = 60.00°, γ = 60.00°
Each line ends with the local moment (μB).
Fractional positions:
Pd: 0.500 0.500 0.500  -0.01
Ce: 0.250 0.250 0.250  0.68
Cd: 0.000 0.000 0.000  0.01
Tm: 0.750 0.750 0.750  0.04


(23)
Y2Fe2Si: relaxed, PBE.

## Properties
E_form (uncorrected) in eV per atom: 0.6546

a = 7.646 Å, b = 7.646 Å, c = 3.314 Å
α = 90.00°, β = 90.00°, γ = 90.00°
Fractional positions:
Y: 0.654 0.154 0.000
Y: 0.846 0.654 0.000
Y: 0.346 0.846 0.000
Y: 0.154 0.346 0.000
Fe: 0.851 0.351 0.500
Fe: 0.351 0.149 0.500
Fe: 0.649 0.851 0.500
Fe: 0.149 0.649 0.500
Si: 0.500 0.500 0.000
Si: 0.000 0.000 0.000


(24)
BiPOs2: relaxed, PBE.

## Properties
Energy of formation from the pure elements in eV per atom: 0.6776

a = 5.714 Å, b = 5.714 Å, c = 6.823 Å
α = 65.25°, β = 65.25°, γ = 90.00°
Fractional positions:
P: 0.250 0.750 0.500
P: 0.500 0.500 0.000
Bi: 0.000 0.000 0.000
Bi: 0.750 0.250 0.500
Os: 0.375 0.440 0.750
Os: 0.190 0.625 0.250
Os: 0.875 0.810 0.750
Os: 0.560 0.125 0.250


| no. | calculated total energy (eV/atom) | calculated density (g/cm3) |
| --- | --- | --- |
| 1 | -6.916 | 9.9 |
| 2 | -6.396 | 6.0 |
| 3 | -4.806 | 9.7 |
| 4 | -5.375 | 4.1 |
| 5 | -2.994 | 4.4 |
| 6 | -7.117 | 11.6 |
| 7 | -3.252 | 4.1 |
| 8 | -5.641 | 9.1 |
| 9 | -5.134 | 5.0 |
| 10 | -5.593 | 10.2 |
| 11 | -2.848 | 4.1 |
| 12 | -4.425 | 0.7 |
| 13 | -4.672 | 4.7 |
| 14 | -7.363 | 3.7 |
| 15 | -5.483 | 6.5 |
| 16 | -3.989 | 6.4 |
| 17 | -3.122 | 4.0 |
| 18 | -4.400 | 7.2 |
| 19 | -3.131 | 2.1 |
| 20 | -5.072 | 6.9 |
| 21 | -1.680 | 6.1 |
| 22 | -4.550 | 9.0 |
| 23 | -6.401 | 5.4 |
| 24 | -7.260 | 11.5 |